ScVCu2O: optimized geometry, GGA+U.

The space group is P4/mmm (No. 123) and the conventional cell measures 4.8711, 4.8711 and 3.6145 Å, with angles of 90.00, 90.00 and 90.00 degrees. The asymmetric unit holds Sc at (0.0000, 0.0000, 0.0000), V at (0.5000, 0.5000, 0.5000), Cu at (0.0000, 0.5000, 0.5000) and O at (0.5000, 0.5000, 0.0000).

The total magnetization comes out at 1.3 μB per formula unit. As for the calculated total energy: -5.397 eV per atom. The density of states at the Fermi level comes out at 3.585 states/eV per cell.